# Zr2SiPb (GGA-PBE, optimized geometry)
data_Zr2SiPb
_cell_length_a 4.505
_cell_length_b 4.505
_cell_length_c 8.268
_cell_angle_alpha 90.00
_cell_angle_beta 90.00
_cell_angle_gamma 90.00
_symmetry_space_group_name_H-M 'I 4/m m m'
_symmetry_Int_Tables_number 139
_symmetry_space_group_name_Hall '-I 4 2'
loop_
_atom_site_label
_atom_site_fract_x
_atom_site_fract_y
_atom_site_fract_z
Zr1 0.000 0.500 0.250
Si1 0.000 0.000 0.000
Pb1 0.000 0.000 0.500
# - relative energy among the computed polymorphs (meV per atom) = 232
# - size of the total moment (μB per atom) = 0.000
# - density of states at the Fermi level (states/eV/f.u.) = 1.23
# - energy relative to the elements, uncorrected (meV/atom) = -202
# - final energy (eV/atom) = -6.758
# - volume (Å³ per cell) = 167.82